ZnCuSe | GGA-PBEsol | relaxed

Unit cell a=3.5167 b=3.5167 c=7.6178 alpha=90.00 beta=90.00 gamma=90.00
Space group I4mm (No. 107)
Symmetry-distinct sites (fractional):
Zn (0.0000, 0.0000, 0.0000)
Cu (0.0000, 0.0000, 0.3291)
Se (0.0000, 0.0000, 0.6610)

Formation energy from raw total energies in eV per atom: 0.11
Total moment in μB/f.u.: 0.00

---

AlCu2Ni | GGA-PBEsol | relaxed

Unit cell a=3.6194 b=3.6194 c=7.0334 alpha=90.00 beta=90.00 gamma=90.00
Space group I-4m2 (No. 119)
Symmetry-distinct sites (fractional):
Al (0.0000, 0.0000, 0.0000)
Cu (0.0000, 0.0000, 0.5000)
Cu (0.0000, 0.5000, 0.2500)
Ni (0.0000, 0.5000, 0.7500)

Energy relative to the elements in eV per atom: -0.29
Total moment in μB/f.u.: 0.00

---

Copy entry 2 word for word.
AlCu2Ni | GGA-PBEsol | relaxed

Unit cell a=3.6194 b=3.6194 c=7.0334 alpha=90.00 beta=90.00 gamma=90.00
Space group I-4m2 (No. 119)
Symmetry-distinct sites (fractional):
Al (0.0000, 0.0000, 0.0000)
Cu (0.0000, 0.0000, 0.5000)
Cu (0.0000, 0.5000, 0.2500)
Ni (0.0000, 0.5000, 0.7500)

Energy relative to the elements in eV per atom: -0.29
Total moment in μB/f.u.: 0.00

---

What is the formula in the second record?
AlCu2Ni